Entry 1:
Entry from Alexandria via LeMat-Bulk: a geometry-optimized ThNp3As4 structure (GGA-PBE).

Summary:
D(E_F): 26.34 states/eV per cell
Formation energy from the elements: -857 meV per atom
Magnetic moment: 12.0 Bohr magnetons per cell
Volume: 25.4 A^3/atom
Space group: Pm-3m (221)

```
ThNp3As4
1.0
5.882 0.000 0.000
0.000 5.882 0.000
0.000 0.000 5.882
Th Np As
1 3 4
Direct
0.000 0.000 0.000
0.000 0.500 0.500
0.500 0.000 0.500
0.500 0.500 0.000
0.000 0.000 0.500
0.000 0.500 0.000
0.500 0.000 0.000
0.500 0.500 0.500
```

=====

Entry 2:
Entry from Alexandria via LeMat-Bulk: a geometry-optimized BaPO2F structure (GGA-PBE).

Summary:
D(E_F): 3.43 states/eV per cell
Magnetic moment: 2.6 Bohr magnetons per cell
Volume: 31.9 A^3/atom
Formation energy without anion corrections: 15 kJ/mol of atoms
Space group: P4/mmm (123)

```
BaPO2F
1.0
4.457 0.000 0.000
0.000 4.457 0.000
0.000 0.000 8.033
Ba P O F
1 1 2 1
Direct
0.000 0.000 0.000
0.000 0.000 0.500
0.000 0.500 0.000
0.500 0.000 0.000
0.500 0.500 0.500
```

=====

Q: Among the records above, which one has the lowest D(E_F)?
A: BaPO2F

=====

Q: Which value of volume does entry 2 give?
A: 31.9 A^3/atom